[1]
This record from the Alexandria database describes crystalline LiAg2AsBr6 at its relaxed geometry. The functional is PBE.

It has space group P1 (No. 1), with a = 6.946 Å, b = 6.949 Å, c = 7.882 Å, α = 90.20°, β = 115.92° and γ = 119.97°. The inequivalent atoms are Li at (0.000, 0.000, 0.000), Ag at (0.662, 0.331, 0.995), Ag at (0.671, 0.835, 0.505), As at (0.318, 0.659, 0.977), Br at (0.160, 0.258, 0.756), Br at (0.171, 0.422, 0.215), Br at (0.463, 0.043, 0.215), Br at (0.500, 0.901, 0.757), Br at (0.793, 0.750, 0.215) and Br at (0.857, 0.597, 0.757).

The uncorrected formation energy is -0.5846 eV/atom. Its crystal system is triclinic.

[2]
This record from the Alexandria database describes crystalline Nd4ThCd5 at its relaxed geometry. The functional is PBE.

It has space group P4/mmm (No. 123), with a = 3.853 Å, b = 3.853 Å, c = 19.274 Å, α = 90.00°, β = 90.00° and γ = 90.00°. The inequivalent atoms are Nd at (0.000, 0.000, 0.100), Nd at (0.000, 0.000, 0.301), Th at (0.000, 0.000, 0.500), Cd at (0.500, 0.500, 0.000), Cd at (0.500, 0.500, 0.200) and Cd at (0.500, 0.500, 0.399).

Its formation energy is -0.26 eV per atom. Its crystal system is tetragonal.

[3]
This record from the Alexandria database describes crystalline K2MnAuI6 at its relaxed geometry. The functional is PBE.

It has space group P1 (No. 1), with a = 8.208 Å, b = 8.226 Å, c = 8.416 Å, α = 119.17°, β = 90.07° and γ = 119.77°. The inequivalent atoms are K at (0.000, 0.000, 0.000), K at (0.478, 0.956, 0.431), Mn at (0.760, 0.518, 0.279), Au at (0.180, 0.357, 0.536), I at (0.004, 0.467, 0.071), I at (0.082, 0.002, 0.557), I at (0.464, 0.068, 0.070), I at (0.555, 0.636, 0.555), I at (0.606, 0.608, 0.071) and I at (0.921, 0.476, 0.555).

The uncorrected formation energy is -0.6863 eV/atom. Its crystal system is triclinic.

[4]
This record from the Alexandria database describes crystalline Nd3TlFe at its relaxed geometry. The functional is PBE.

It has space group Pm-3m (No. 221), with a = 5.257 Å, b = 5.257 Å, c = 5.257 Å, α = 90.00°, β = 90.00° and γ = 90.00°. The inequivalent atoms are Nd at (0.000, 0.000, 0.500), Tl at (0.500, 0.500, 0.500) and Fe at (0.000, 0.000, 0.000).

Its formation energy is 0.00 eV per atom. Its crystal system is cubic.